! CoSe4 PBE-GGA optimized geometry; values from VASP
&SYSTEM
  ibrav = 0, nat = 5, ntyp = 2
/
ATOMIC_SPECIES
Co 58.93 Co.upf
Se 78.96 Se.upf
CELL_PARAMETERS angstrom
4.660 0.000 0.000
0.000 4.660 0.000
0.000 0.000 4.660
ATOMIC_POSITIONS angstrom
Co 0.000 0.000 0.000
Se 0.000 0.000 2.330
Se 0.000 2.330 0.000
Se 2.330 0.000 0.000
Se 2.330 2.330 2.330
! Space group: Pm-3m, No. 221
! Density in g/cm³: 6.15
! E above lowest polymorph in eV per atom: 0.139
! Raw formation energy in eV/atom: 0.450



! CoSe PBE-GGA optimized geometry; values from VASP
&SYSTEM
  ibrav = 0, nat = 12, ntyp = 2
/
ATOMIC_SPECIES
Co 58.93 Co.upf
Se 78.96 Se.upf
CELL_PARAMETERS angstrom
3.545 0.000 0.000
-1.772 3.070 0.000
0.000 0.000 20.029
ATOMIC_POSITIONS angstrom
Co 0.000 0.000 2.521
Co 0.000 0.000 17.508
Co 0.000 2.047 10.832
Co 0.000 2.047 15.874
Co 1.772 1.023 4.155
Co 1.772 1.023 9.198
Se 0.000 0.000 8.269
Se 0.000 0.000 11.761
Se 0.000 2.047 1.592
Se 0.000 2.047 5.084
Se 1.772 1.023 14.945
Se 1.772 1.023 18.437
! Space group: R-3m, No. 166
! Density in g/cm³: 6.30
! Raw formation energy in eV/atom: -0.004



! CoSe PBE-GGA optimized geometry; values from VASP
&SYSTEM
  ibrav = 0, nat = 4, ntyp = 2
/
ATOMIC_SPECIES
Co 58.93 Co.upf
Se 78.96 Se.upf
CELL_PARAMETERS angstrom
3.738 0.000 0.000
-1.869 3.237 0.000
0.000 0.000 6.608
ATOMIC_POSITIONS angstrom
Co 0.000 2.158 0.763
Co 1.869 1.079 5.845
Se 0.000 2.158 5.066
Se 1.869 1.079 1.542
! Space group: P-3m1, No. 164
! Density in g/cm³: 5.73
! Raw formation energy in eV/atom: -0.228



! CoSe3 PBE-GGA optimized geometry; values from VASP
&SYSTEM
  ibrav = 0, nat = 16, ntyp = 2
/
ATOMIC_SPECIES
Co 58.93 Co.upf
Se 78.96 Se.upf
CELL_PARAMETERS angstrom
6.552 0.000 0.000
0.000 6.552 0.000
0.000 0.000 6.552
ATOMIC_POSITIONS angstrom
Co 0.000 0.000 0.000
Co 0.000 3.276 3.276
Co 3.276 0.000 3.276
Co 3.276 3.276 0.000
Se 0.000 0.000 3.276
Se 0.000 3.276 0.000
Se 1.638 1.638 1.638
Se 1.638 1.638 4.914
Se 1.638 4.914 1.638
Se 1.638 4.914 4.914
Se 3.276 0.000 0.000
Se 3.276 3.276 3.276
Se 4.914 1.638 1.638
Se 4.914 1.638 4.914
Se 4.914 4.914 1.638
Se 4.914 4.914 4.914
! Space group: Fm-3m, No. 225
! Density in g/cm³: 6.98
! E above lowest polymorph in eV per atom: 0.696
! Raw formation energy in eV/atom: 0.659



! Co3Se4 PBE-GGA optimized geometry; values from VASP
&SYSTEM
  ibrav = 0, nat = 14, ntyp = 2
/
ATOMIC_SPECIES
Co 58.93 Co.upf
Se 78.96 Se.upf
CELL_PARAMETERS angstrom
0.000 4.922 4.922
4.922 0.000 4.922
4.922 4.922 0.000
ATOMIC_POSITIONS angstrom
Co 0.000 0.000 0.000
Co 2.461 2.461 0.000
Co 2.461 0.000 2.461
Co 3.692 3.692 3.692
Co 0.000 2.461 2.461
Co 6.153 6.153 6.153
Se 7.457 4.848 4.848
Se 2.387 2.387 2.387
Se 4.996 4.996 2.387
Se 4.996 2.387 4.996
Se 4.848 7.457 4.848
Se 4.848 4.848 7.457
Se 7.457 7.457 7.457
Se 2.387 4.996 4.996
! Space group: Fd-3m, No. 227
! Density in g/cm³: 6.86
! E above lowest polymorph in eV per atom: 0.000
! Raw formation energy in eV/atom: -0.287



! CoSe3 PBE-GGA optimized geometry; values from VASP
&SYSTEM
  ibrav = 0, nat = 16, ntyp = 2
/
ATOMIC_SPECIES
Co 58.93 Co.upf
Se 78.96 Se.upf
CELL_PARAMETERS angstrom
3.817 0.000 0.000
0.000 3.817 0.000
0.000 0.000 24.164
ATOMIC_POSITIONS angstrom
Co 0.000 0.000 4.553
Co 0.000 0.000 19.612
Co 1.908 1.908 7.530
Co 1.908 1.908 16.635
Se 0.000 0.000 8.564
Se 0.000 0.000 15.600
Se 0.000 1.908 0.000
Se 0.000 1.908 6.041
Se 0.000 1.908 12.082
Se 0.000 1.908 18.123
Se 1.908 0.000 0.000
Se 1.908 0.000 6.041
Se 1.908 0.000 12.082
Se 1.908 0.000 18.123
Se 1.908 1.908 3.518
Se 1.908 1.908 20.646
! Space group: I4/mmm, No. 139
! Density in g/cm³: 5.58
! E above lowest polymorph in eV per atom: 0.450
! Raw formation energy in eV/atom: 0.412



! CoSe PBE-GGA optimized geometry; values from VASP
&SYSTEM
  ibrav = 0, nat = 16, ntyp = 2
/
ATOMIC_SPECIES
Co 58.93 Co.upf
Se 78.96 Se.upf
CELL_PARAMETERS angstrom
6.249 0.000 0.000
0.000 6.249 0.000
0.000 0.000 6.249
ATOMIC_POSITIONS angstrom
Co 0.781 0.781 0.781
Co 0.781 3.906 3.906
Co 2.343 2.343 5.468
Co 2.343 5.468 2.343
Co 3.906 0.781 3.906
Co 3.906 3.906 0.781
Co 5.468 2.343 2.343
Co 5.468 5.468 5.468
Se 0.781 0.781 3.906
Se 0.781 3.906 0.781
Se 2.343 2.343 2.343
Se 2.343 5.468 5.468
Se 3.906 0.781 0.781
Se 3.906 3.906 3.906
Se 5.468 2.343 5.468
Se 5.468 5.468 2.343
! Space group: Fd-3m, No. 227
! Density in g/cm³: 7.51
! Raw formation energy in eV/atom: 0.747



! CoSe PBE-GGA optimized geometry; values from VASP
&SYSTEM
  ibrav = 0, nat = 16, ntyp = 2
/
ATOMIC_SPECIES
Co 58.93 Co.upf
Se 78.96 Se.upf
CELL_PARAMETERS angstrom
9.512 0.000 0.000
0.000 9.512 0.000
0.000 0.000 3.607
ATOMIC_POSITIONS angstrom
Co 1.514 6.808 0.000
Co 2.052 3.242 1.803
Co 2.705 1.514 0.000
Co 3.242 7.461 1.803
Co 6.271 2.052 1.803
Co 6.808 7.998 0.000
Co 7.461 6.271 1.803
Co 7.998 2.705 0.000
Se 0.755 2.730 0.000
Se 2.026 5.511 1.803
Se 2.730 8.758 0.000
Se 4.001 2.026 1.803
Se 5.511 7.487 1.803
Se 6.782 0.755 0.000
Se 7.487 4.001 1.803
Se 8.758 6.782 0.000
! Space group: I4/m, No. 87
! Density in g/cm³: 5.61
! Raw formation energy in eV/atom: -0.160



! CoSe3 PBE-GGA optimized geometry; values from VASP
&SYSTEM
  ibrav = 0, nat = 8, ntyp = 2
/
ATOMIC_SPECIES
Co 58.93 Co.upf
Se 78.96 Se.upf
CELL_PARAMETERS angstrom
3.957 0.000 0.000
0.000 4.058 0.000
0.000 0.000 9.883
ATOMIC_POSITIONS angstrom
Co 0.000 0.000 0.000
Co 1.979 2.029 0.000
Se 0.000 0.000 4.942
Se 0.000 2.029 1.569
Se 0.000 2.029 8.314
Se 1.979 0.000 1.569
Se 1.979 0.000 8.314
Se 1.979 2.029 4.942
! Space group: Cmmm, No. 65
! Density in g/cm³: 6.19
! E above lowest polymorph in eV per atom: 0.219
! Raw formation energy in eV/atom: 0.182



! CoSe7 PBE-GGA optimized geometry; values from VASP
&SYSTEM
  ibrav = 0, nat = 8, ntyp = 2
/
ATOMIC_SPECIES
Co 58.93 Co.upf
Se 78.96 Se.upf
CELL_PARAMETERS angstrom
0.000 4.284 4.284
4.284 0.000 4.284
4.284 4.284 0.000
ATOMIC_POSITIONS angstrom
Co 0.000 0.000 0.000
Se 2.142 2.142 0.000
Se 2.142 0.000 2.142
Se 4.284 2.142 2.142
Se 0.000 2.142 2.142
Se 2.142 4.284 2.142
Se 2.142 2.142 4.284
Se 4.284 4.284 4.284
! Space group: Fm-3m, No. 225
! Density in g/cm³: 6.46
! Raw formation energy in eV/atom: 0.787



! CoSe3 PBE-GGA optimized geometry; values from VASP
&SYSTEM
  ibrav = 0, nat = 4, ntyp = 2
/
ATOMIC_SPECIES
Co 58.93 Co.upf
Se 78.96 Se.upf
CELL_PARAMETERS angstrom
3.296 0.000 0.000
-1.648 2.854 0.000
0.000 0.000 8.453
ATOMIC_POSITIONS angstrom
Co 0.000 0.000 0.000
Se 0.000 0.000 4.227
Se 1.648 0.951 1.422
Se 1.648 0.951 7.031
! Space group: P-6m2, No. 187
! Density in g/cm³: 6.18
! E above lowest polymorph in eV per atom: 0.175
! Raw formation energy in eV/atom: 0.138



! CoSe3 PBE-GGA optimized geometry; values from VASP
&SYSTEM
  ibrav = 0, nat = 16, ntyp = 2
/
ATOMIC_SPECIES
Co 58.93 Co.upf
Se 78.96 Se.upf
CELL_PARAMETERS angstrom
8.269 0.000 0.000
0.000 13.126 0.000
0.000 0.000 3.322
ATOMIC_POSITIONS angstrom
Co 0.000 2.599 0.831
Co 0.000 10.527 2.492
Co 4.135 3.964 2.492
Co 4.135 9.162 0.831
Se 0.000 4.243 2.492
Se 0.000 8.884 0.831
Se 1.236 1.399 2.492
Se 1.236 11.728 0.831
Se 2.898 5.165 0.831
Se 2.898 7.962 2.492
Se 4.135 2.321 0.831
Se 4.135 10.806 2.492
Se 5.371 5.165 0.831
Se 5.371 7.962 2.492
Se 7.033 1.399 2.492
Se 7.033 11.728 0.831
! Space group: Cmcm, No. 63
! Density in g/cm³: 5.45
! E above lowest polymorph in eV per atom: 0.053
! Raw formation energy in eV/atom: 0.016